Entry 1:
GGA-PBE Zr2SbPt, optimized geometry; DFT total energy = -7.4857 eV/atom; SG = R-3m (166)
1.0
1.959 1.131 6.958
-1.959 1.131 6.958
0.000 -2.262 6.958
Zr Sb Pt
2 1 1
direct
0.241 0.241 0.241
0.759 0.759 0.759
0.000 0.000 0.000
0.500 0.500 0.500

---

Entry 2:
GGA-PBE ZrSbPt2, optimized geometry; DFT total energy = -6.9410 eV/atom; SG = P4/mmm (123)
1.0
3.626 0.000 0.000
0.000 3.626 0.000
0.000 0.000 5.863
Zr Sb Pt
1 1 2
direct
0.000 0.000 0.000
0.000 0.000 0.500
0.500 0.500 0.233
0.500 0.500 0.767

---

Entry 3:
GGA-PBE ZrSb3Pt, optimized geometry; SG = Pm-3m (221); distance to the lowest polymorph of the same formula = 0.000 eV/atom
1.0
5.207 0.000 0.000
0.000 5.207 0.000
0.000 0.000 5.207
Zr Sb Pt
1 3 1
direct
0.000 0.000 0.000
0.000 0.500 0.500
0.500 0.000 0.500
0.500 0.500 0.000
0.500 0.500 0.500

---

Entry 4:
GGA-PBE ZrSb3Pt, optimized geometry; SG = Pm-3m (221); distance to the lowest polymorph of the same formula = 0.320 eV/atom
1.0
5.438 0.000 0.000
0.000 5.438 0.000
0.000 0.000 5.438
Zr Sb Pt
1 3 1
direct
0.000 0.000 0.000
0.000 0.000 0.500
0.000 0.500 0.000
0.500 0.000 0.000
0.500 0.500 0.500

---

Entry 5:
GGA-PBE Zr2SbPt, optimized geometry; DFT total energy = -7.4856 eV/atom; SG = P2/m (10)
1.0
3.714 0.000 0.000
0.000 3.703 0.000
-0.014 0.000 5.994
Zr Sb Pt
2 1 1
direct
0.000 0.000 0.242
0.000 0.000 0.758
0.500 0.500 0.500
0.500 0.500 0.000

---

Entry 6:
GGA-PBE ZrSbPt2, optimized geometry; DFT total energy = -6.8042 eV/atom; SG = Pmm2 (25)
1.0
3.098 0.000 0.000
0.000 4.640 0.000
0.000 0.000 5.415
Zr Sb Pt
1 1 2
direct
0.000 0.000 0.000
0.500 0.500 0.309
0.500 0.000 0.534
0.500 0.500 0.824

---

Entry 7:
GGA-PBE ZrSbPt2, optimized geometry; DFT total energy = -6.8645 eV/atom; SG = I4/mmm (139)
1.0
-2.080 2.080 4.305
2.080 -2.080 4.305
2.080 2.080 -4.305
Zr Sb Pt
1 1 2
direct
0.000 0.000 0.000
0.500 0.500 0.000
0.250 0.750 0.500
0.750 0.250 0.500

---

Entry 8:
GGA-PBE ZrSbPt2, optimized geometry; DFT total energy = -6.7417 eV/atom; SG = P4mm (99)
1.0
3.558 0.000 0.000
0.000 3.558 0.000
0.000 0.000 6.204
Zr Sb Pt
1 1 2
direct
0.000 0.000 0.000
0.500 0.500 0.651
0.000 0.000 0.457
0.500 0.500 0.197